(1)
Material: BiPICl2
Method: DFT, PBE
State: relaxed

## Properties
energy relative to the elements, uncorrected = 0.09 eV per atom
energy relative to the lowest polymorph listed for this composition = 0 meV/atom
volume = 167.43 Å³/cell
total moment = 1.00 μB/cell

Geometry as POSCAR:
```
BiPICl2
1.0
5.255 0.000 0.000
0.000 5.255 0.000
0.000 0.000 6.063
Cl Bi I P
2 1 1 1
Cartesian
2.627 0.000 0.000
0.000 2.627 0.000
0.000 0.000 0.000
2.627 2.627 3.032
0.000 0.000 3.032
```

***

(2)
Material: BiPICl2
Method: DFT, PBE
State: relaxed

## Properties
energy relative to the elements, uncorrected = 0.65 eV per atom
energy relative to the lowest polymorph listed for this composition = 567 meV/atom
volume = 155.85 Å³/cell
total moment = 0.76 μB/cell

Geometry as POSCAR:
```
BiPICl2
1.0
5.318 0.000 0.000
0.000 5.318 0.000
0.000 0.000 5.511
Bi I P Cl
1 1 1 2
Cartesian
2.659 2.659 2.755
0.000 0.000 0.000
0.000 0.000 2.755
0.000 2.659 0.000
2.659 0.000 0.000
```

***

(3)
Material: BiP2ICl
Method: DFT, PBE
State: relaxed

## Properties
energy relative to the elements, uncorrected = 0.98 eV per atom
energy relative to the lowest polymorph listed for this composition = 226 meV/atom
volume = 140.56 Å³/cell
total moment = 0.00 μB/cell

Geometry as POSCAR:
```
BiP2ICl
1.0
-0.509 3.767 3.604
2.253 -3.106 3.565
4.599 1.855 -1.289
I Bi P Cl
1 1 2 1
Cartesian
0.000 0.000 0.000
3.171 1.258 2.940
-0.255 1.883 1.802
1.126 -1.553 1.783
2.299 0.928 -0.645
```

***

(4)
Material: BiPt2ICl
Method: DFT, PBE
State: relaxed

## Properties
energy relative to the elements, uncorrected = 0.77 eV per atom
volume = 135.44 Å³/cell
total moment = 0.00 μB/cell

Geometry as POSCAR:
```
BiPt2ICl
1.0
-2.479 2.440 2.990
1.785 -3.984 4.731
3.644 2.651 0.857
Bi Pt Cl I
1 2 1 1
Cartesian
1.475 0.554 4.289
-1.239 1.220 1.495
1.822 1.325 0.429
0.000 0.000 0.000
0.892 -1.992 2.366
```

***

(5)
Material: Rb2BiICl6
Method: DFT, PBE
State: relaxed

## Properties
energy relative to the elements, uncorrected = -1.08 eV per atom
volume = 393.48 Å³/cell
total moment = 0.00 μB/cell

Geometry as POSCAR:
```
Rb2BiICl6
1.0
-5.220 -0.708 -5.908
5.554 -3.400 -4.499
-1.527 -7.698 -3.030
Cl Rb I Bi
6 2 1 1
Cartesian
0.254 -3.126 -7.918
-2.643 -1.352 -5.571
0.080 -0.983 -2.489
2.977 -2.756 -4.836
-0.801 -5.277 -3.962
-0.393 -6.529 -9.475
2.097 -6.576 -6.366
-3.290 -5.230 -7.070
0.167 -2.054 -5.204
0.000 0.000 0.000
```

***

(6)
Material: RbBiICl2
Method: DFT, PBE
State: relaxed

## Properties
energy relative to the elements, uncorrected = -1.02 eV per atom
volume = 205.08 Å³/cell
total moment = 0.00 μB/cell

Geometry as POSCAR:
```
RbBiICl2
1.0
-4.364 -2.404 -2.518
-1.838 -1.838 4.941
-3.485 5.530 0.760
I Cl Bi Rb
1 2 1 1
Cartesian
-1.743 2.765 0.380
-2.182 -1.202 -1.259
-0.919 -0.919 2.470
0.000 0.000 0.000
-4.844 0.644 1.592
```

***

(7)
Material: BiSbI2Cl
Method: DFT, PBE
State: relaxed

## Properties
energy relative to the elements, uncorrected = 0.29 eV per atom
energy relative to the lowest polymorph listed for this composition = 0 meV/atom
volume = 226.50 Å³/cell
total moment = 1.19 μB/cell

Geometry as POSCAR:
```
BiSbI2Cl
1.0
6.001 0.000 0.000
0.000 6.001 0.000
0.000 0.000 6.291
I Sb Bi Cl
2 1 1 1
Cartesian
3.000 0.000 0.000
0.000 3.000 0.000
0.000 0.000 3.145
0.000 0.000 0.000
3.000 3.000 3.145
```

***

(8)
Material: BiSbI2Cl
Method: DFT, PBE
State: relaxed

## Properties
energy relative to the elements, uncorrected = 0.61 eV per atom
energy relative to the lowest polymorph listed for this composition = 316 meV/atom
volume = 175.35 Å³/cell
total moment = 0.00 μB/cell

Geometry as POSCAR:
```
BiSbI2Cl
1.0
5.478 0.000 0.000
0.000 5.478 0.000
0.000 0.000 5.843
Bi I Cl Sb
1 2 1 1
Cartesian
2.739 2.739 2.921
0.000 2.739 0.000
2.739 0.000 0.000
0.000 0.000 0.000
0.000 0.000 2.921
```